Here is a relaxed Er2ZrBi2N2 crystal from Alexandria via LeMat-Bulk. Energies are from PBE-GGA.

Properties
Electronic total energy ... -48.65 eV per formula unit
Theoretical density ... 9.75 Mg/m³
Total magnetization ... 0.0 μB per formula unit
N(E_F) ... 0.493 states/eV/atom
E_form (uncorrected) ... -0.937 eV per atom

Cell and atoms, written as CIF:
```
data_Er2ZrBi2N2
_symmetry_space_group_name_H-M 'I 4/m m m'
_symmetry_Int_Tables_number 139
_symmetry_space_group_name_Hall '-I 4 2'
_cell_length_a 4.2434
_cell_length_b 4.2434
_cell_length_c 16.4848
_cell_angle_alpha 90.00
_cell_angle_beta 90.00
_cell_angle_gamma 90.00
loop_
_atom_site_label
_atom_site_type_symbol
_atom_site_fract_x
_atom_site_fract_y
_atom_site_fract_z
Er1 Er 0.0000 0.0000 0.0942
Zr1 Zr 0.0000 0.0000 0.5000
Bi1 Bi 0.0000 0.0000 0.3085
N1 N 0.0000 0.5000 0.0000
```

Here is a relaxed NaErBi2 crystal from Alexandria via LeMat-Bulk. Energies are from PBE-GGA.

Properties
Electronic total energy ... -15.52 eV per formula unit
Theoretical density ... 8.50 Mg/m³
Total magnetization ... 0.0 μB per formula unit
ΔE to the lowest computed polymorph ... 0.0000 eV per atom
N(E_F) ... 0.603 states/eV/atom
Formation enthalpy at 0 K ... -0.469 eV per atom

Cell and atoms, written as CIF:
```
data_NaErBi2
_symmetry_space_group_name_H-M 'P 4/m m m'
_symmetry_Int_Tables_number 123
_symmetry_space_group_name_Hall '-P 4 2'
_cell_length_a 3.6386
_cell_length_b 3.6386
_cell_length_c 8.9716
_cell_angle_alpha 90.00
_cell_angle_beta 90.00
_cell_angle_gamma 90.00
loop_
_atom_site_label
_atom_site_type_symbol
_atom_site_fract_x
_atom_site_fract_y
_atom_site_fract_z
Na1 Na 0.0000 0.0000 0.0000
Er1 Er 0.0000 0.0000 0.5000
Bi1 Bi 0.5000 0.5000 0.2617
```

Here is a relaxed NaEr5Bi6 crystal from Alexandria via LeMat-Bulk. Energies are from PBE-GGA.

Properties
Electronic total energy ... -55.21 eV per formula unit
Theoretical density ... 9.24 Mg/m³
Total magnetization ... 0.0 μB per formula unit
N(E_F) ... 0.537 states/eV/atom
Formation enthalpy at 0 K ... -0.649 eV per atom

Cell and atoms, written as CIF:
```
data_NaEr5Bi6
_symmetry_space_group_name_H-M 'C 1 2/m 1'
_symmetry_Int_Tables_number 12
_cell_length_a 7.7457
_cell_length_b 13.4618
_cell_length_c 7.7298
_cell_angle_alpha 90.00
_cell_angle_beta 109.48
_cell_angle_gamma 90.00
loop_
_symmetry_equiv_pos_as_xyz
'x,y,z'
'-x,-y,-z'
'-x,y,-z'
'x,-y,z'
'x+1/2,y+1/2,z'
'-x+1/2,-y+1/2,-z'
'-x+1/2,y+1/2,-z'
'x+1/2,-y+1/2,z'
loop_
_atom_site_label
_atom_site_type_symbol
_atom_site_fract_x
_atom_site_fract_y
_atom_site_fract_z
Na1 Na 0.0000 0.0000 0.0000
Er1 Er 0.0000 0.1614 0.5000
Er2 Er 0.0000 0.3307 0.0000
Er3 Er 0.0000 0.5000 0.5000
Bi1 Bi 0.2423 0.5000 0.2498
Bi2 Bi 0.2438 0.3302 0.7447
```

Here is a relaxed Na3Er5Bi12 crystal from Alexandria via LeMat-Bulk. Energies are from PBE-GGA.

Properties
Electronic total energy ... -74.24 eV per formula unit
Theoretical density ... 7.08 Mg/m³
Total magnetization ... 0.0 μB per formula unit
N(E_F) ... 0.820 states/eV/atom
Formation enthalpy at 0 K ... -0.045 eV per atom

Cell and atoms, written as CIF:
```
data_Na3Er5Bi12
_symmetry_space_group_name_H-M 'I a -3 d'
_symmetry_Int_Tables_number 230
_symmetry_space_group_name_Hall '-I 4bd 2c 3'
_cell_length_a 18.5689
_cell_length_b 18.5689
_cell_length_c 18.5689
_cell_angle_alpha 90.00
_cell_angle_beta 90.00
_cell_angle_gamma 90.00
loop_
_atom_site_label
_atom_site_type_symbol
_atom_site_fract_x
_atom_site_fract_y
_atom_site_fract_z
Na1 Na 0.0000 0.2500 0.1250
Er1 Er 0.0000 0.0000 0.0000
Er2 Er 0.0000 0.2500 0.3750
Bi1 Bi 0.0454 0.0881 0.6350
```

Question: The lowest electronic total energy belongs to which entry?
Answer: Na3Er5Bi12